The following is a PBE calculation of a relaxed structure of Ac3Al, from Alexandria via LeMat-Bulk.

## Properties
E   -4.045 eV/atom
V   36.48 A^3/atom
N(E_F)   6.312 states/eV/f.u.

Geometry as POSCAR:
```
Ac3Al
1.0
5.265 0.000 0.000
0.000 5.265 0.000
0.000 0.000 5.265
Ac Al
3 1
direct
0.000 0.000 0.500
0.000 0.500 0.000
0.500 0.000 0.000
0.500 0.500 0.500
```

=====

The following is a PBE calculation of a relaxed structure of CrFe3Sn, from Alexandria via LeMat-Bulk.

## Properties
E   -6.731 eV/atom
V   14.81 A^3/atom
N(E_F)   8.105 states/eV/f.u.

Geometry as POSCAR:
```
CrFe3Sn
1.0
4.200 0.000 0.000
0.000 4.200 0.000
0.000 0.000 4.200
Cr Fe Sn
1 3 1
direct
0.000 0.000 0.000
0.000 0.000 0.500
0.000 0.500 0.000
0.500 0.000 0.000
0.500 0.500 0.500
```

=====

V of number 1 (Ac3Al)? 36.48 A^3/atom

=====

Look up the V of the first one. 36.48 A^3/atom

=====

Among the records above, which one has the lowest V? CrFe3Sn